V3RuPt | Alexandria | PBE | optimized geometry; E_tot = -8.8299 eV/atom; total magnetic moment = 0.00 Bohr magnetons per cell; ΔE to the lowest computed polymorph = 0.0 meV per atom; energy relative to the elements = -295.4 meV/atom
1.0
5.023 0.000 0.000
0.510 5.075 0.000
1.743 1.557 5.445
V Ru Pt
6 2 2
direct
0.002 0.002 0.258 V
0.382 0.186 0.851 V
0.383 0.189 0.365 V
0.617 0.811 0.635 V
0.618 0.814 0.149 V
0.998 0.998 0.742 V
0.224 0.613 0.539 Ru
0.776 0.387 0.461 Ru
0.225 0.615 0.040 Pt
0.775 0.385 0.960 Pt

---

RbAuO2 | Alexandria | PBE | optimized geometry; E_tot = -3.2196 eV/atom; formation energy without anion corrections = 0.321 eV/atom; total magnetic moment = 2.00 Bohr magnetons per cell
1.0
0.000 3.179 3.179
3.179 0.000 3.179
3.179 3.179 0.000
Rb Au O
1 1 2
direct
0.000 0.000 0.000 Rb
0.500 0.500 0.500 Au
0.250 0.250 0.250 O
0.750 0.750 0.750 O

---

Across the entries above, DOS(E_F) takes the values 9.74 3.25 states/eV/cell, respectively.